## Li3YAl (SCAN)

Data for a PBEsol-optimized structure of Li3YAl.

a = 5.255 Å, b = 5.255 Å, c = 5.255 Å
α = 90.00°, β = 90.00°, γ = 90.00°
Space group Pm-3m (No. 221)
Unique sites:
Li1 0.000 0.000 0.500 x3
Y1 0.000 0.000 0.000 x1
Al1 0.500 0.500 0.500 x1

Properties
The total DFT energy (no corrections) comes out at -7.28 eV/atom. For the density of states at the Fermi level, the calculation gives 1.631 states/eV per atom. The calculation puts the formation energy from the elements at 1269 meV per atom.

## Mg3ReC (SCAN)

Data for a PBEsol-optimized structure of Mg3ReC.

a = 5.039 Å, b = 5.039 Å, c = 5.039 Å
α = 90.00°, β = 90.00°, γ = 90.00°
Space group Pm-3m (No. 221)
Unique sites:
Mg1 0.000 0.000 0.500 x3
Re1 0.000 0.000 0.000 x1
C1 0.500 0.500 0.500 x1

Properties
The total DFT energy (no corrections) comes out at -16.93 eV/atom. For the density of states at the Fermi level, the calculation gives 0.650 states/eV per atom. The calculation puts the formation energy from the elements at 2295 meV per atom.

- Among the records above, which one has the lowest total DFT energy (no corrections)?
  Mg3ReC